1.
{"formula": "LiPWO5", "functional": "PBEsol", "state": "relaxed", "final_energy_ev_per_cell": -256.42, "dos_ef_per_ev_fu": 1.53, "polymorph_energy_mev_per_atom": 14, "magmom_total_mub_per_cell": 7.31, "e_form_raw_ev_per_fu": -16.29, "lattice": [[6.969, -2.662, 0.000], [6.969, 2.662, 0.000], [-4.315, 0.000, 9.766]], "species": ["Li", "Li", "Li", "Li", "P", "P", "P", "P", "W", "W", "W", "W", "O", "O", "O", "O", "O", "O", "O", "O", "O", "O", "O", "O", "O", "O", "O", "O", "O", "O", "O", "O"], "frac_coords": [[0.000, 0.000, 0.000], [0.000, 0.000, 0.500], [0.000, 0.500, 0.000], [0.500, 0.000, 0.500], [0.375, 0.376, 0.814], [0.376, 0.375, 0.314], [0.624, 0.625, 0.686], [0.625, 0.624, 0.186], [0.000, 0.500, 0.500], [0.002, 0.998, 0.250], [0.500, 0.000, 0.000], [0.998, 0.002, 0.750], [0.082, 0.170, 0.411], [0.170, 0.082, 0.911], [0.194, 0.685, 0.847], [0.208, 0.683, 0.345], [0.295, 0.306, 0.160], [0.306, 0.295, 0.660], [0.312, 0.322, 0.409], [0.315, 0.806, 0.653], [0.317, 0.792, 0.155], [0.322, 0.312, 0.909], [0.678, 0.688, 0.091], [0.683, 0.208, 0.845], [0.685, 0.194, 0.347], [0.688, 0.678, 0.591], [0.694, 0.705, 0.340], [0.705, 0.694, 0.840], [0.792, 0.317, 0.655], [0.806, 0.315, 0.153], [0.830, 0.918, 0.089], [0.918, 0.830, 0.589]]}

2.
{"formula": "LiP3W2O12", "functional": "PBEsol", "state": "relaxed", "final_energy_ev_per_cell": -293.02, "dos_ef_per_ev_fu": 6.07, "polymorph_energy_mev_per_atom": 4, "magmom_total_mub_per_cell": 8.00, "e_form_raw_ev_per_fu": -36.56, "lattice": [[7.503, -4.373, 0.000], [7.503, 4.373, 0.000], [-4.950, 0.000, 7.110]], "species": ["Li", "Li", "P", "P", "P", "P", "P", "P", "W", "W", "W", "W", "O", "O", "O", "O", "O", "O", "O", "O", "O", "O", "O", "O", "O", "O", "O", "O", "O", "O", "O", "O", "O", "O", "O", "O"], "frac_coords": [[0.248, 0.248, 0.250], [0.752, 0.752, 0.750], [0.167, 0.833, 0.000], [0.247, 0.753, 0.500], [0.457, 0.253, 0.708], [0.667, 0.042, 0.210], [0.747, 0.543, 0.292], [0.958, 0.333, 0.790], [0.067, 0.153, 0.390], [0.347, 0.433, 0.110], [0.567, 0.653, 0.890], [0.847, 0.933, 0.610], [0.013, 0.300, 0.631], [0.085, 0.789, 0.553], [0.121, 0.349, 0.979], [0.151, 0.023, 0.162], [0.203, 0.675, 0.057], [0.211, 0.915, 0.447], [0.267, 0.564, 0.337], [0.297, 0.232, 0.516], [0.325, 0.797, 0.943], [0.401, 0.290, 0.868], [0.436, 0.733, 0.663], [0.475, 0.203, 0.190], [0.511, 0.415, 0.744], [0.585, 0.489, 0.256], [0.621, 0.066, 0.691], [0.651, 0.879, 0.021], [0.700, 0.987, 0.369], [0.710, 0.599, 0.132], [0.768, 0.703, 0.484], [0.797, 0.525, 0.810], [0.825, 0.100, 0.248], [0.900, 0.175, 0.752], [0.934, 0.379, 0.309], [0.977, 0.849, 0.838]]}

3.
{"formula": "Li2P5WO15", "functional": "PBEsol", "state": "relaxed", "final_energy_ev_per_cell": -343.37, "polymorph_energy_mev_per_atom": 42, "magmom_total_mub_per_cell": 6.00, "e_form_raw_ev_per_fu": -46.25, "lattice": [[3.767, -5.571, 0.000], [3.767, 5.571, 0.000], [-3.180, 0.000, 13.304]], "species": ["Li", "Li", "Li", "Li", "P", "P", "P", "P", "P", "P", "P", "P", "P", "P", "W", "W", "O", "O", "O", "O", "O", "O", "O", "O", "O", "O", "O", "O", "O", "O", "O", "O", "O", "O", "O", "O", "O", "O", "O", "O", "O", "O", "O", "O", "O", "O"], "frac_coords": [[0.146, 0.854, 0.500], [0.447, 0.923, 0.840], [0.854, 0.146, 0.000], [0.923, 0.447, 0.340], [0.009, 0.627, 0.027], [0.106, 0.910, 0.226], [0.261, 0.375, 0.496], [0.290, 0.481, 0.720], [0.375, 0.261, 0.996], [0.481, 0.290, 0.220], [0.502, 0.751, 0.025], [0.627, 0.009, 0.527], [0.751, 0.502, 0.525], [0.910, 0.106, 0.726], [0.597, 0.864, 0.275], [0.864, 0.597, 0.775], [0.028, 0.840, 0.106], [0.137, 0.200, 0.980], [0.169, 0.238, 0.738], [0.175, 0.475, 0.420], [0.200, 0.137, 0.480], [0.203, 0.633, 0.777], [0.209, 0.463, 0.604], [0.238, 0.169, 0.238], [0.251, 0.705, 0.003], [0.261, 0.810, 0.264], [0.437, 0.944, 0.578], [0.463, 0.209, 0.104], [0.475, 0.175, 0.920], [0.510, 0.521, 0.025], [0.521, 0.510, 0.525], [0.529, 0.539, 0.749], [0.539, 0.529, 0.249], [0.608, 0.856, 0.946], [0.609, 0.884, 0.129], [0.619, 0.875, 0.429], [0.633, 0.203, 0.277], [0.705, 0.251, 0.503], [0.810, 0.261, 0.764], [0.840, 0.028, 0.606], [0.856, 0.608, 0.446], [0.875, 0.619, 0.929], [0.880, 0.917, 0.777], [0.884, 0.609, 0.629], [0.917, 0.880, 0.277], [0.944, 0.437, 0.078]]}

4.
{"formula": "LiP3W2O12", "functional": "PBEsol", "state": "relaxed", "final_energy_ev_per_cell": -586.32, "dos_ef_per_ev_fu": 5.73, "polymorph_energy_mev_per_atom": 0, "magmom_total_mub_per_cell": 16.00, "e_form_raw_ev_per_fu": -36.63, "lattice": [[8.652, 0.000, 0.000], [0.000, 8.800, 0.000], [-8.504, 0.000, 12.218]], "species": ["Li", "Li", "Li", "Li", "P", "P", "P", "P", "P", "P", "P", "P", "P", "P", "P", "P", "W", "W", "W", "W", "W", "W", "W", "W", "O", "O", "O", "O", "O", "O", "O", "O", "O", "O", "O", "O", "O", "O", "O", "O", "O", "O", "O", "O", "O", "O", "O", "O", "O", "O", "O", "O", "O", "O", "O", "O", "O", "O", "O", "O", "O", "O", "O", "O", "O", "O", "O", "O", "O", "O", "O", "O"], "frac_coords": [[0.027, 0.225, 0.320], [0.027, 0.275, 0.820], [0.973, 0.725, 0.180], [0.973, 0.775, 0.680], [0.033, 0.103, 0.644], [0.033, 0.397, 0.144], [0.251, 0.615, 0.647], [0.251, 0.885, 0.147], [0.458, 0.250, 0.494], [0.458, 0.250, 0.994], [0.542, 0.750, 0.006], [0.542, 0.750, 0.506], [0.749, 0.115, 0.853], [0.749, 0.385, 0.353], [0.967, 0.603, 0.856], [0.967, 0.897, 0.356], [0.138, 0.540, 0.385], [0.138, 0.960, 0.885], [0.370, 0.532, 0.119], [0.370, 0.968, 0.619], [0.630, 0.032, 0.381], [0.630, 0.468, 0.881], [0.862, 0.040, 0.115], [0.862, 0.460, 0.615], [0.009, 0.240, 0.181], [0.009, 0.260, 0.681], [0.062, 0.519, 0.228], [0.062, 0.981, 0.728], [0.089, 0.593, 0.662], [0.089, 0.907, 0.162], [0.146, 0.560, 0.966], [0.146, 0.940, 0.466], [0.186, 0.569, 0.532], [0.186, 0.931, 0.032], [0.205, 0.104, 0.639], [0.205, 0.396, 0.139], [0.265, 0.168, 0.924], [0.265, 0.332, 0.424], [0.298, 0.714, 0.167], [0.298, 0.786, 0.667], [0.382, 0.638, 0.437], [0.382, 0.862, 0.937], [0.417, 0.513, 0.729], [0.417, 0.987, 0.229], [0.450, 0.142, 0.571], [0.450, 0.358, 0.071], [0.481, 0.164, 0.412], [0.481, 0.336, 0.912], [0.519, 0.664, 0.088], [0.519, 0.836, 0.588], [0.550, 0.642, 0.929], [0.550, 0.858, 0.429], [0.583, 0.013, 0.771], [0.583, 0.487, 0.271], [0.618, 0.138, 0.063], [0.618, 0.362, 0.563], [0.702, 0.214, 0.333], [0.702, 0.286, 0.833], [0.735, 0.668, 0.576], [0.735, 0.832, 0.076], [0.795, 0.604, 0.861], [0.795, 0.896, 0.361], [0.814, 0.069, 0.968], [0.814, 0.431, 0.468], [0.854, 0.060, 0.534], [0.854, 0.440, 0.034], [0.911, 0.093, 0.838], [0.911, 0.407, 0.338], [0.938, 0.019, 0.272], [0.938, 0.481, 0.772], [0.991, 0.740, 0.319], [0.991, 0.760, 0.819]]}